Entry from the Alexandria database: a relaxed structure of Mg6SnBi3 (PBE).

Cell and atoms, written as POSCAR:
```
Mg6SnBi3
1.0
-2.701 -6.003 -3.488
-2.506 -3.541 8.035
-7.574 4.639 -2.118
Mg Bi Sn
12 6 2
Cartesian
-3.855 -2.479 5.540 Mg
-7.030 -0.605 3.392 Mg
-4.681 -7.956 5.149 Mg
-8.181 2.873 -2.823 Mg
-5.451 -3.633 -0.575 Mg
-3.906 -0.945 1.558 Mg
-8.157 -0.716 -2.117 Mg
-8.357 1.530 0.727 Mg
-4.131 -5.781 2.082 Mg
-8.575 -3.292 1.259 Mg
-7.247 -5.442 3.911 Mg
-5.241 1.191 -1.102 Mg
-2.821 -3.517 0.724 Bi
-8.680 -2.878 4.163 Bi
-6.991 -5.840 0.821 Bi
-6.711 -1.110 0.420 Bi
-11.161 -4.055 0.155 Bi
-5.302 -4.694 -3.284 Bi
-9.417 -2.416 -3.947 Sn
-4.542 -5.103 4.857 Sn
```

Results
Crystal system ... orthorhombic
SG ... Cmc2_1, No. 36
Distance to the lowest polymorph of the same formula ... 0.8 kJ/mol of atoms

Entry from the Alexandria database: a relaxed structure of TlTcNi2 (PBE).

Cell and atoms, written as POSCAR:
```
TlTcNi2
1.0
-1.925 -2.235 0.449
1.849 -1.875 -1.402
2.960 -1.391 5.764
Tc Ni Tl
1 2 1
Cartesian
1.318 -0.619 2.567 Tc
0.128 -0.060 0.250 Ni
0.679 -2.392 0.920 Ni
2.238 -3.124 3.956 Tl
```

Results
Crystal system ... tetragonal
SG ... P4mm, No. 99
Distance to the lowest polymorph of the same formula ... 2.1 kJ/mol of atoms

Entry from the Alexandria database: a relaxed structure of PaAl3Pt2 (PBE).

Cell and atoms, written as POSCAR:
```
PaAl3Pt2
1.0
-3.664 1.134 -1.557
-1.035 -8.253 1.929
-1.937 5.137 8.297
Pa Al Pt
3 9 6
Cartesian
-2.262 1.244 6.228 Pa
-4.374 -3.227 2.441 Pa
0.000 0.000 0.000 Pa
-4.654 -0.682 4.951 Al
-1.982 -1.301 3.717 Al
-1.978 -4.893 1.092 Al
-3.658 -1.554 7.476 Al
-4.658 2.910 7.576 Al
-2.801 3.135 3.370 Al
-2.978 -0.429 1.192 Al
-0.945 1.178 3.082 Al
-5.690 -3.161 5.586 Al
-3.524 0.761 3.344 Pt
-1.403 -2.448 1.519 Pt
-5.233 0.466 7.149 Pt
-3.166 -6.250 2.899 Pt
-3.112 -2.744 5.325 Pt
-3.470 4.268 5.769 Pt
```

Results
Crystal system ... monoclinic
SG ... C2/m, No. 12

Entry from the Alexandria database: a relaxed structure of BeIrPb2 (PBE).

Cell and atoms, written as POSCAR:
```
BeIrPb2
1.0
3.340 0.002 0.000
-0.002 3.340 0.000
0.000 0.000 7.281
Be Pb Ir
1 2 1
Cartesian
1.669 1.671 1.820 Be
0.000 0.000 7.248 Pb
0.000 0.000 3.673 Pb
1.669 1.671 5.461 Ir
```

Results
Crystal system ... tetragonal
SG ... P4/mmm, No. 123

| no. | formation energy (eV/atom) |
| --- | --- |
| 1 | -0.094 |
| 2 | 0.371 |
| 3 | -0.888 |
| 4 | 0.659 |